[1]
A relaxed CaCrSi2 crystal, computed with PBE.

Geometry as CIF:
```
data_CaCrSi2
_chemical_formula_sum 'Ca3 Cr3 Si6'
_space_group_name_H-M_alt 'R -3 m'
_space_group_IT_number 166
_space_group_name_Hall '-R 3 2"'
_cell_length_a 3.3102
_cell_length_b 3.3102
_cell_length_c 22.8055
_cell_angle_alpha 90.00
_cell_angle_beta 90.00
_cell_angle_gamma 120.00
loop_
_atom_site_label
_atom_site_fract_x
_atom_site_fract_y
_atom_site_fract_z
_atom_site_occupancy
Ca1 0.0000 0.0000 0.0000 1
Cr1 0.0000 0.0000 0.5000 1
Si1 0.0000 0.0000 0.2336 1
```

Results
ΔE_f (raw) (meV per atom): 74
Crystal system: trigonal
DOS(E_F) (states/eV/f.u.): 2.29
Total magnetization (μB per formula unit): 0.739


[2]
A relaxed CaCrSi crystal, computed with PBE.

Geometry as CIF:
```
data_CaCrSi
_chemical_formula_sum 'Ca4 Cr4 Si4'
_space_group_name_H-M_alt 'F -4 3 m'
_space_group_IT_number 216
_space_group_name_Hall 'F -4 2 3'
_cell_length_a 6.701
_cell_length_b 6.701
_cell_length_c 6.701
_cell_angle_alpha 90.00
_cell_angle_beta 90.00
_cell_angle_gamma 90.00
loop_
_atom_site_label
_atom_site_fract_x
_atom_site_fract_y
_atom_site_fract_z
_atom_site_occupancy
Ca1 0.000 0.000 0.000 1
Cr1 0.250 0.250 0.750 1
Si1 0.250 0.250 0.250 1
```

Results
ΔE_f (raw) (meV per atom): 830
Crystal system: cubic
DOS(E_F) (states/eV/f.u.): 1.36
Total magnetization (μB per formula unit): 4.001


[3]
A relaxed Ca2CrSi crystal, computed with PBE.

Geometry as CIF:
```
data_Ca2CrSi
_chemical_formula_sum 'Ca4 Cr2 Si2'
_space_group_name_H-M_alt 'C 1 2/m 1'
_space_group_IT_number 12
_cell_length_a 9.288
_cell_length_b 3.414
_cell_length_c 6.680
_cell_angle_alpha 90.00
_cell_angle_beta 98.48
_cell_angle_gamma 90.00
loop_
_space_group_symop_operation_xyz
'x,y,z'
'-x,-y,-z'
'-x,y,-z'
'x,-y,z'
'x+1/2,y+1/2,z'
'-x+1/2,-y+1/2,-z'
'-x+1/2,y+1/2,-z'
'x+1/2,-y+1/2,z'
loop_
_atom_site_label
_atom_site_fract_x
_atom_site_fract_y
_atom_site_fract_z
_atom_site_occupancy
Ca1 0.239 0.000 0.230 1
Cr1 0.000 0.000 0.500 1
Si1 0.000 0.500 0.000 1
```

Results
ΔE_f (raw) (meV per atom): 388
Crystal system: monoclinic
DOS(E_F) (states/eV/f.u.): 1.66
Total magnetization (μB per formula unit): 4.396


[4]
A relaxed CaCrSi crystal, computed with PBE.

Geometry as CIF:
```
data_CaCrSi
_chemical_formula_sum 'Ca2 Cr2 Si2'
_space_group_name_H-M_alt 'I 4 m m'
_space_group_IT_number 107
_space_group_name_Hall 'I 4 -2'
_cell_length_a 3.309
_cell_length_b 3.309
_cell_length_c 10.776
_cell_angle_alpha 90.00
_cell_angle_beta 90.00
_cell_angle_gamma 90.00
loop_
_atom_site_label
_atom_site_fract_x
_atom_site_fract_y
_atom_site_fract_z
_atom_site_occupancy
Ca1 0.000 0.000 0.000 1
Cr1 0.000 0.000 0.283 1
Si1 0.000 0.000 0.704 1
```

Results
ΔE_f (raw) (meV per atom): 95
Crystal system: tetragonal
DOS(E_F) (states/eV/f.u.): 2.66
Total magnetization (μB per formula unit): 2.684


[5]
A relaxed Ca2CrSi crystal, computed with PBE.

Geometry as CIF:
```
data_Ca2CrSi
_chemical_formula_sum 'Ca2 Cr1 Si1'
_space_group_name_H-M_alt 'P 4 m m'
_space_group_IT_number 99
_cell_length_a 3.391
_cell_length_b 3.391
_cell_length_c 8.498
_cell_angle_alpha 90.00
_cell_angle_beta 90.00
_cell_angle_gamma 90.00
loop_
_space_group_symop_operation_xyz
'x,y,z'
'-y,x,z'
'-x,-y,z'
'y,-x,z'
'-x,y,z'
'y,x,z'
'x,-y,z'
'-y,-x,z'
loop_
_atom_site_label
_atom_site_fract_x
_atom_site_fract_y
_atom_site_fract_z
_atom_site_occupancy
Ca1 0.000 0.000 0.000 1
Ca2 0.500 0.500 0.385 1
Cr1 0.000 0.000 0.651 1
Si1 0.500 0.500 0.752 1
```

Results
ΔE_f (raw) (meV per atom): 95
Crystal system: tetragonal
DOS(E_F) (states/eV/f.u.): 4.77
Total magnetization (μB per formula unit): 2.726


[6]
A relaxed CaCr2Si crystal, computed with PBE.

Geometry as CIF:
```
data_CaCr2Si
_chemical_formula_sum 'Ca3 Cr6 Si3'
_space_group_name_H-M_alt 'R 3 m'
_space_group_IT_number 160
_space_group_name_Hall 'R 3 -2"'
_cell_length_a 4.2218
_cell_length_b 4.2218
_cell_length_c 15.6989
_cell_angle_alpha 90.00
_cell_angle_beta 90.00
_cell_angle_gamma 120.00
loop_
_atom_site_label
_atom_site_fract_x
_atom_site_fract_y
_atom_site_fract_z
_atom_site_occupancy
Ca1 0.0000 0.0000 0.0000 1
Cr1 0.0000 0.0000 0.5004 1
Cr2 0.0000 0.0000 0.8125 1
Si1 0.0000 0.0000 0.1849 1
```

Results
ΔE_f (raw) (meV per atom): -8
Crystal system: trigonal
DOS(E_F) (states/eV/f.u.): 1.33
Total magnetization (μB per formula unit): 0.025


[7]
A relaxed CaCrSi2 crystal, computed with PBE.

Geometry as CIF:
```
data_CaCrSi2
_chemical_formula_sum 'Ca2 Cr2 Si4'
_space_group_name_H-M_alt 'C 1 m 1'
_space_group_IT_number 8
_cell_length_a 7.908
_cell_length_b 3.302
_cell_length_c 6.645
_cell_angle_alpha 90.00
_cell_angle_beta 119.06
_cell_angle_gamma 90.00
loop_
_space_group_symop_operation_xyz
'x,y,z'
'x,-y,z'
'x+1/2,y+1/2,z'
'x+1/2,-y+1/2,z'
loop_
_atom_site_label
_atom_site_fract_x
_atom_site_fract_y
_atom_site_fract_z
_atom_site_occupancy
Ca1 0.000 0.000 0.000 1
Cr1 0.215 0.000 0.530 1
Si1 0.068 0.500 0.668 1
Si2 0.359 0.500 0.374 1
```

Results
ΔE_f (raw) (meV per atom): -121
Crystal system: monoclinic
DOS(E_F) (states/eV/f.u.): 1.71
Total magnetization (μB per formula unit): 1.641


[8]
A relaxed Ca2CrSi crystal, computed with PBE.

Geometry as CIF:
```
data_Ca2CrSi
_chemical_formula_sum 'Ca4 Cr2 Si2'
_space_group_name_H-M_alt 'I -4 m 2'
_space_group_IT_number 119
_space_group_name_Hall 'I -4 -2'
_cell_length_a 4.944
_cell_length_b 4.944
_cell_length_c 7.013
_cell_angle_alpha 90.00
_cell_angle_beta 90.00
_cell_angle_gamma 90.00
loop_
_atom_site_label
_atom_site_fract_x
_atom_site_fract_y
_atom_site_fract_z
_atom_site_occupancy
Ca1 0.000 0.000 0.000 1
Ca2 0.000 0.500 0.250 1
Cr1 0.000 0.500 0.750 1
Si1 0.000 0.000 0.500 1
```

Results
ΔE_f (raw) (meV per atom): 205
Crystal system: tetragonal
DOS(E_F) (states/eV/f.u.): 2.02
Total magnetization (μB per formula unit): 3.997


[9]
A relaxed CaCrSi2 crystal, computed with PBE.

Geometry as CIF:
```
data_CaCrSi2
_chemical_formula_sum 'Ca4 Cr4 Si8'
_space_group_name_H-M_alt 'I -4 2 d'
_space_group_IT_number 122
_space_group_name_Hall 'I -4 2bw'
_cell_length_a 4.917
_cell_length_b 4.917
_cell_length_c 15.419
_cell_angle_alpha 90.00
_cell_angle_beta 90.00
_cell_angle_gamma 90.00
loop_
_atom_site_label
_atom_site_fract_x
_atom_site_fract_y
_atom_site_fract_z
_atom_site_occupancy
Ca1 0.000 0.000 0.000 1
Cr1 0.000 0.000 0.500 1
Si1 0.002 0.750 0.625 1
```

Results
ΔE_f (raw) (meV per atom): 84
Crystal system: tetragonal
DOS(E_F) (states/eV/f.u.): 2.99
Total magnetization (μB per formula unit): 1.633


[10]
A relaxed CaCrSi2 crystal, computed with PBE.

Geometry as CIF:
```
data_CaCrSi2
_chemical_formula_sum 'Ca1 Cr1 Si2'
_space_group_name_H-M_alt 'P 1 m 1'
_space_group_IT_number 6
_cell_length_a 3.770
_cell_length_b 3.682
_cell_length_c 5.957
_cell_angle_alpha 90.00
_cell_angle_beta 108.35
_cell_angle_gamma 90.00
loop_
_space_group_symop_operation_xyz
'x,y,z'
'x,-y,z'
loop_
_atom_site_label
_atom_site_fract_x
_atom_site_fract_y
_atom_site_fract_z
_atom_site_occupancy
Ca1 0.000 0.000 0.000 1
Cr1 0.261 0.500 0.525 1
Si1 0.610 0.500 0.221 1
Si2 0.742 0.000 0.487 1
```

Results
ΔE_f (raw) (meV per atom): -62
Crystal system: monoclinic
DOS(E_F) (states/eV/f.u.): 2.19
Total magnetization (μB per formula unit): 3.084


[11]
A relaxed SrCaCrSi2 crystal, computed with PBE.

Geometry as CIF:
```
data_SrCaCrSi2
_chemical_formula_sum 'Sr1 Ca1 Cr1 Si2'
_space_group_name_H-M_alt 'P 4/m m m'
_space_group_IT_number 123
_space_group_name_Hall '-P 4 2'
_cell_length_a 4.712
_cell_length_b 4.712
_cell_length_c 5.086
_cell_angle_alpha 90.00
_cell_angle_beta 90.00
_cell_angle_gamma 90.00
loop_
_atom_site_label
_atom_site_fract_x
_atom_site_fract_y
_atom_site_fract_z
_atom_site_occupancy
Sr1 0.000 0.000 0.000 1
Ca1 0.500 0.500 0.000 1
Cr1 0.000 0.000 0.500 1
Si1 0.000 0.500 0.500 1
```

Results
ΔE_f (raw) (meV per atom): 271
Crystal system: tetragonal
DOS(E_F) (states/eV/f.u.): 3.69
Total magnetization (μB per formula unit): 0.000


[12]
A relaxed CaCrSn crystal, computed with PBE.

Geometry as CIF:
```
data_CaCrSn
_chemical_formula_sum 'Ca4 Cr4 Sn4'
_space_group_name_H-M_alt 'C 1 m 1'
_space_group_IT_number 8
_cell_length_a 9.720
_cell_length_b 4.637
_cell_length_c 6.701
_cell_angle_alpha 90.00
_cell_angle_beta 96.18
_cell_angle_gamma 90.00
loop_
_space_group_symop_operation_xyz
'x,y,z'
'x,-y,z'
'x+1/2,y+1/2,z'
'x+1/2,-y+1/2,z'
loop_
_atom_site_label
_atom_site_fract_x
_atom_site_fract_y
_atom_site_fract_z
_atom_site_occupancy
Ca1 0.000 0.000 0.000 1
Ca2 0.213 0.500 0.313 1
Cr1 0.029 0.000 0.524 1
Cr2 0.333 0.000 0.710 1
Sn1 0.158 0.500 0.777 1
Sn2 0.404 0.000 0.310 1
```

Results
Crystal system: monoclinic
Formation energy from the elements (eV/atom): 0.028
DOS(E_F) (states/eV/f.u.): 1.26
Total magnetization (μB per formula unit): 4.029


[13]
A relaxed CaCrSn crystal, computed with PBE.

Geometry as CIF:
```
data_CaCrSn
_chemical_formula_sum 'Ca4 Cr4 Sn4'
_space_group_name_H-M_alt 'I -4 m 2'
_space_group_IT_number 119
_space_group_name_Hall 'I -4 -2'
_cell_length_a 4.658
_cell_length_b 4.658
_cell_length_c 14.370
_cell_angle_alpha 90.00
_cell_angle_beta 90.00
_cell_angle_gamma 90.00
loop_
_atom_site_label
_atom_site_fract_x
_atom_site_fract_y
_atom_site_fract_z
_atom_site_occupancy
Ca1 0.000 0.000 0.000 1
Ca2 0.000 0.500 0.250 1
Cr1 0.000 0.000 0.438 1
Sn1 0.000 0.500 0.651 1
```

Results
Crystal system: tetragonal
Formation energy from the elements (eV/atom): 0.102
DOS(E_F) (states/eV/f.u.): 1.70
Total magnetization (μB per formula unit): 0.000


[14]
A relaxed CaCrSn3 crystal, computed with PBE.

Geometry as CIF:
```
data_CaCrSn3
_chemical_formula_sum 'Ca1 Cr1 Sn3'
_space_group_name_H-M_alt 'P m -3 m'
_space_group_IT_number 221
_space_group_name_Hall '-P 4 2 3'
_cell_length_a 5.134
_cell_length_b 5.134
_cell_length_c 5.134
_cell_angle_alpha 90.00
_cell_angle_beta 90.00
_cell_angle_gamma 90.00
loop_
_atom_site_label
_atom_site_fract_x
_atom_site_fract_y
_atom_site_fract_z
_atom_site_occupancy
Ca1 0.000 0.000 0.000 1
Cr1 0.500 0.500 0.500 1
Sn1 0.000 0.500 0.500 1
```

Results
Crystal system: cubic
Formation energy from the elements (eV/atom): 0.013
DOS(E_F) (states/eV/f.u.): 2.96
Total magnetization (μB per formula unit): 2.159


[15]
A relaxed CaCrSn crystal, computed with PBE.

Geometry as CIF:
```
data_CaCrSn
_chemical_formula_sum 'Ca2 Cr2 Sn2'
_space_group_name_H-M_alt 'P -6 m 2'
_space_group_IT_number 187
_space_group_name_Hall 'P -6 2'
_cell_length_a 4.9176
_cell_length_b 4.9176
_cell_length_c 6.8044
_cell_angle_alpha 90.00
_cell_angle_beta 90.00
_cell_angle_gamma 120.00
loop_
_atom_site_label
_atom_site_fract_x
_atom_site_fract_y
_atom_site_fract_z
_atom_site_occupancy
Ca1 0.0000 0.0000 0.0000 1
Ca2 0.0000 0.0000 0.5000 1
Cr1 0.6667 0.3333 0.1325 1
Sn1 0.3333 0.6667 0.2564 1
```

Results
Crystal system: hexagonal
Formation energy from the elements (eV/atom): 0.043
DOS(E_F) (states/eV/f.u.): 1.33
Total magnetization (μB per formula unit): 0.000


[16]
A relaxed Ca3CrSn crystal, computed with PBE.

Geometry as CIF:
```
data_Ca3CrSn
_chemical_formula_sum 'Ca3 Cr1 Sn1'
_space_group_name_H-M_alt 'P m -3 m'
_space_group_IT_number 221
_space_group_name_Hall '-P 4 2 3'
_cell_length_a 5.937
_cell_length_b 5.937
_cell_length_c 5.937
_cell_angle_alpha 90.00
_cell_angle_beta 90.00
_cell_angle_gamma 90.00
loop_
_atom_site_label
_atom_site_fract_x
_atom_site_fract_y
_atom_site_fract_z
_atom_site_occupancy
Ca1 0.000 0.000 0.500 1
Cr1 0.500 0.500 0.500 1
Sn1 0.000 0.000 0.000 1
```

Results
Crystal system: cubic
Formation energy from the elements (eV/atom): 0.344
DOS(E_F) (states/eV/f.u.): 2.59
Total magnetization (μB per formula unit): 5.887


[17]
A relaxed CaCrSn crystal, computed with PBE.

Geometry as CIF:
```
data_CaCrSn
_chemical_formula_sum 'Ca2 Cr2 Sn2'
_space_group_name_H-M_alt 'P m m 2'
_space_group_IT_number 25
_cell_length_a 3.596
_cell_length_b 4.575
_cell_length_c 9.041
_cell_angle_alpha 90.00
_cell_angle_beta 90.00
_cell_angle_gamma 90.00
loop_
_space_group_symop_operation_xyz
'x,y,z'
'-x,-y,z'
'-x,y,z'
'x,-y,z'
loop_
_atom_site_label
_atom_site_fract_x
_atom_site_fract_y
_atom_site_fract_z
_atom_site_occupancy
Ca1 0.000 0.000 0.000 1
Ca2 0.000 0.000 0.384 1
Cr1 0.000 0.500 0.690 1
Cr2 0.500 0.500 0.516 1
Sn1 0.500 0.000 0.694 1
Sn2 0.500 0.500 0.200 1
```

Results
Crystal system: orthorhombic
Formation energy from the elements (eV/atom): -0.068
DOS(E_F) (states/eV/f.u.): 1.56
Total magnetization (μB per formula unit): 0.056


[18]
A relaxed CaCrSn crystal, computed with PBE.

Geometry as CIF:
```
data_CaCrSn
_chemical_formula_sum 'Ca4 Cr4 Sn4'
_space_group_name_H-M_alt 'C 1 2/m 1'
_space_group_IT_number 12
_cell_length_a 10.300
_cell_length_b 4.732
_cell_length_c 7.627
_cell_angle_alpha 90.00
_cell_angle_beta 131.49
_cell_angle_gamma 90.00
loop_
_space_group_symop_operation_xyz
'x,y,z'
'-x,-y,-z'
'-x,y,-z'
'x,-y,z'
'x+1/2,y+1/2,z'
'-x+1/2,-y+1/2,-z'
'-x+1/2,y+1/2,-z'
'x+1/2,-y+1/2,z'
loop_
_atom_site_label
_atom_site_fract_x
_atom_site_fract_y
_atom_site_fract_z
_atom_site_occupancy
Ca1 0.233 0.000 0.171 1
Cr1 0.056 0.000 0.445 1
Sn1 0.077 0.500 0.268 1
```

Results
Crystal system: monoclinic
Formation energy from the elements (eV/atom): -0.015
DOS(E_F) (states/eV/f.u.): 1.76
Total magnetization (μB per formula unit): 0.000


[19]
A relaxed CaCrSn crystal, computed with PBE.

Geometry as CIF:
```
data_CaCrSn
_chemical_formula_sum 'Ca4 Cr4 Sn4'
_space_group_name_H-M_alt 'I m m 2'
_space_group_IT_number 44
_cell_length_a 5.353
_cell_length_b 6.245
_cell_length_c 7.980
_cell_angle_alpha 90.00
_cell_angle_beta 90.00
_cell_angle_gamma 90.00
loop_
_space_group_symop_operation_xyz
'x,y,z'
'-x,-y,z'
'-x,y,z'
'x,-y,z'
'x+1/2,y+1/2,z+1/2'
'-x+1/2,-y+1/2,z+1/2'
'-x+1/2,y+1/2,z+1/2'
'x+1/2,-y+1/2,z+1/2'
loop_
_atom_site_label
_atom_site_fract_x
_atom_site_fract_y
_atom_site_fract_z
_atom_site_occupancy
Ca1 0.000 0.000 0.000 1
Ca2 0.000 0.500 0.239 1
Cr1 0.181 0.000 0.369 1
Sn1 0.000 0.259 0.637 1
```

Results
Crystal system: orthorhombic
Formation energy from the elements (eV/atom): 0.010
DOS(E_F) (states/eV/f.u.): 2.80
Total magnetization (μB per formula unit): 0.950


[20]
A relaxed CaCrSn crystal, computed with PBE.

Geometry as CIF:
```
data_CaCrSn
_chemical_formula_sum 'Ca4 Cr4 Sn4'
_space_group_name_H-M_alt 'I m m m'
_space_group_IT_number 71
_space_group_name_Hall '-I 2 2'
_cell_length_a 4.765
_cell_length_b 7.122
_cell_length_c 8.992
_cell_angle_alpha 90.00
_cell_angle_beta 90.00
_cell_angle_gamma 90.00
loop_
_atom_site_label
_atom_site_fract_x
_atom_site_fract_y
_atom_site_fract_z
_atom_site_occupancy
Ca1 0.000 0.000 0.229 1
Cr1 0.000 0.377 0.000 1
Sn1 0.000 0.295 0.500 1
```

Results
Crystal system: orthorhombic
Formation energy from the elements (eV/atom): 0.048
DOS(E_F) (states/eV/f.u.): 0.99
Total magnetization (μB per formula unit): 0.000